# 1
{"formula": "Sr2CuGe2", "functional": "PBE", "state": "optimized geometry", "formation_enthalpy_0k_ev_per_atom": -0.49, "e_above_lowest_polymorph_ev_per_fu": 0.00, "volume_a3_per_atom": 25.87, "lattice": [[-2.051, -0.411, 3.904], [-0.574, -5.976, 1.582], [7.927, -0.595, 6.615]], "species": ["Ge", "Ge", "Ge", "Ge", "Cu", "Cu", "Sr", "Sr", "Sr", "Sr"], "fractional_positions": [[0.959, 0.668, 0.414], [0.391, 0.105, 0.113], [0.041, 0.332, 0.586], [0.609, 0.895, 0.887], [0.437, 0.808, 0.317], [0.563, 0.192, 0.683], [0.289, 0.772, 0.650], [0.711, 0.228, 0.350], [0.900, 0.301, 0.899], [0.100, 0.699, 0.101]]}


# 2
{"formula": "SrCu6Ge2", "functional": "PBE", "state": "optimized geometry", "formation_enthalpy_0k_ev_per_atom": -0.16, "volume_a3_per_atom": 15.97, "lattice": [[-3.338, -0.643, -2.597], [0.738, -4.213, 0.095], [-4.721, -0.686, 6.237]], "species": ["Ge", "Ge", "Sr", "Cu", "Cu", "Cu", "Cu", "Cu", "Cu"], "fractional_positions": [[0.500, 0.500, 0.831], [0.500, 0.500, 0.169], [0.000, 0.000, 0.000], [0.500, 0.500, 0.500], [0.000, 0.000, 0.500], [0.000, 0.500, 0.673], [0.500, 0.000, 0.327], [0.000, 0.500, 0.327], [0.500, 0.000, 0.673]]}